# 1
# Mg2CdHRu

A relaxed Mg2CdHRu crystal (PBE, Alexandria via LeMat-Bulk).

abc: 4.5625 4.5625 3.5053
angles: 90.00 90.00 90.00
Closest atoms and distances in Å follow each position.
Positions (direct):
Mg: 0.0000 0.5000 0.0000  2 H 2.28
Mg: 0.5000 0.0000 0.0000  2 H 2.28
Cd: 0.0000 0.0000 0.5000  8 Mg 2.88
H: 0.5000 0.5000 0.0000  2 Ru 1.75
Ru: 0.5000 0.5000 0.5000  2 H 1.75

V = 14.59 Å³/atom
E_tot = -3.444 eV per atom
magnetization = 0.000 μB per cell

=====

# 2
# Mg2CdHS

A relaxed Mg2CdHS crystal (PBE, Alexandria via LeMat-Bulk).

abc: 4.6613 4.6613 3.9730
angles: 90.00 90.00 90.00
Closest atoms and distances in Å follow each position.
Positions (direct):
Mg: 0.0000 0.5000 0.0000  2 H 2.33
Mg: 0.5000 0.0000 0.0000  2 H 2.33
Cd: 0.0000 0.0000 0.5000  8 Mg 3.06, 4 S 3.30
H: 0.5000 0.5000 0.0000  2 S 1.99
S: 0.5000 0.5000 0.5000  2 H 1.99

V = 17.26 Å³/atom
E_tot = -2.207 eV per atom
magnetization = 0.000 μB per cell

=====

# 3
# Mg2CdSnH

A relaxed Mg2CdSnH crystal (PBE, Alexandria via LeMat-Bulk).

abc: 4.4833 4.4833 4.6423
angles: 90.00 90.00 90.00
Closest atoms and distances in Å follow each position.
Positions (direct):
Mg: 0.0000 0.5000 0.0000  2 H 2.24
Mg: 0.5000 0.0000 0.0000  2 H 2.24
Cd: 0.0000 0.0000 0.5000  2 H 2.32
Sn: 0.5000 0.5000 0.5000  4 Cd 3.17, 8 Mg 3.23
H: 0.0000 0.0000 0.0000  4 Mg 2.24, 2 Cd 2.32

V = 18.66 Å³/atom
E_tot = -2.271 eV per atom
magnetization = 0.000 μB per cell

=====

# 4
# Mg2TiCdH

A relaxed Mg2TiCdH crystal (PBE, Alexandria via LeMat-Bulk).

abc: 4.4454 4.4454 4.0162
angles: 90.00 90.00 90.00
Closest atoms and distances in Å follow each position.
Positions (direct):
Mg: 0.0000 0.5000 0.0000  2 H 2.22
Mg: 0.5000 0.0000 0.0000  2 H 2.22
Ti: 0.0000 0.0000 0.5000  2 H 2.01
Cd: 0.5000 0.5000 0.5000  8 Mg 3.00, 4 Ti 3.14
H: 0.0000 0.0000 0.0000  2 Ti 2.01, 4 Mg 2.22

V = 15.87 Å³/atom
E_tot = -3.121 eV per atom
magnetization = 0.489 μB per cell

=====

# 5
# MgTiCd2H

A relaxed MgTiCd2H crystal (PBE, Alexandria via LeMat-Bulk).

abc: 5.2318 5.2318 5.3128
angles: 90.00 90.00 90.00
Closest atoms and distances in Å follow each position.
Positions (direct):
Mg: 0.0000 0.0000 0.0000  4 Cd 2.62, 2 Ti 2.66
Ti: 0.0000 0.0000 0.5000  2 Mg 2.66
Cd: 0.0000 0.5000 0.0000  2 Mg 2.62
Cd: 0.5000 0.0000 0.0000  2 Mg 2.62
H: 0.5000 0.5000 0.5000  4 Ti 3.70, 8 Cd 3.73

V = 29.08 Å³/atom
E_tot = -1.703 eV per atom
magnetization = 1.921 μB per cell

=====

# 6
# MgTiCdH2

A relaxed MgTiCdH2 crystal (PBE, Alexandria via LeMat-Bulk).

abc: 3.8912 3.8912 6.3620
angles: 90.00 90.00 90.00
Closest atoms and distances in Å follow each position.
Positions (direct):
Mg: 0.0000 0.0000 0.0000  4 H 1.95
Ti: 0.0000 0.0000 0.5000  4 Cd 2.75
Cd: 0.5000 0.5000 0.5000  4 Ti 2.75
H: 0.0000 0.5000 0.0000  2 Mg 1.95
H: 0.5000 0.0000 0.0000  2 Mg 1.95

V = 19.27 Å³/atom
E_tot = -2.759 eV per atom
magnetization = 2.702 μB per cell

=====

> magnetization of number 2 (Mg2CdHS)?

0.000 μB per cell